(1)
First-principles (PBE) data for an optimized crystal structure of LiCa4Ga2, as listed in the Alexandria database.

The energy above the most stable polymorph in this dataset comes out at 0.000 eV per atom.

It has space group R-3m (No. 166, hexagonal axes), with a = 5.2506 Å, b = 5.2506 Å, c = 25.4858 Å, α = 90.00°, β = 90.00° and γ = 120.00°. The inequivalent atoms are Li at (0.0000, 0.0000, 0.0000), Ca at (0.0000, 0.0000, 0.1281), Ca at (0.0000, 0.0000, 0.3796) and Ga at (0.0000, 0.0000, 0.2550).



(2)
First-principles (PBE) data for an optimized crystal structure of Li12CaGa4, as listed in the Alexandria database.

The value obtained for the total energy is -0.15633 Ry per atom.

It has space group Im-3 (No. 204), with a = 9.011 Å, b = 9.011 Å, c = 9.011 Å, α = 90.00°, β = 90.00° and γ = 90.00°. The inequivalent atoms are Li at (0.000, 0.164, 0.351), Ca at (0.000, 0.000, 0.000) and Ga at (0.250, 0.250, 0.250).



(3)
First-principles (PBE) data for an optimized crystal structure of Li2Ca2Ga, as listed in the Alexandria database.

The energy above the most stable polymorph in this dataset comes out at 0.080 eV per atom.

It has space group P4/mbm (No. 127), with a = 7.287 Å, b = 7.287 Å, c = 4.784 Å, α = 90.00°, β = 90.00° and γ = 90.00°. The inequivalent atoms are Li at (0.132, 0.368, 0.000), Ca at (0.190, 0.690, 0.500) and Ga at (0.000, 0.000, 0.000).



Number 1: density of states at the Fermi level 8.572 states/eV/f.u., calculated volume 28.97 A^3/atom. Number 2: density of states at the Fermi level 9.390 states/eV/f.u., calculated volume 21.52 A^3/atom. Number 3: density of states at the Fermi level 3.405 states/eV/f.u., calculated volume 25.40 A^3/atom.